An optimized crystal structure of PuScBr, computed with PBE.

a = 4.0048 Å, b = 4.0048 Å, c = 33.3594 Å
α = 90.00°, β = 90.00°, γ = 120.00°
Space group R-3m (No. 166, hexagonal axes)
One atom of each set of equivalent atoms:
Pu: 0.0000 0.0000 0.1685 x6
Sc: 0.0000 0.0000 0.4346 x6
Br: 0.0000 0.0000 0.2808 x6

Output
Mass density: 7.93 g cm⁻³
V: 463.4 Å³/cell
Total magnetic moment: 0.66 μB/f.u.
Raw formation energy: -615 meV/atom
E_tot: -8.060 eV per atom